1.
{
  "formula": "PmNd4Th3As8",
  "functional": "GGA-PBE",
  "state": "optimized geometry",
  "lattice_angstrom": [[-7.344, -0.392, -4.318], [0.032, -8.490, 0.715], [0.591, 4.872, 6.974]],
  "species": ["Pm", "Nd", "Nd", "Nd", "Nd", "Th", "Th", "Th", "As", "As", "As", "As", "As", "As", "As", "As"],
  "frac_coords": [[0.000, 0.500, 0.000], [0.500, 0.000, 0.000], [0.500, 0.000, 0.500], [0.000, 0.000, 0.000], [0.000, 0.000, 0.500], [0.500, 0.500, 0.000], [0.500, 0.500, 0.500], [0.000, 0.500, 0.500], [0.249, 0.746, 0.997], [0.249, 0.746, 0.499], [0.251, 0.253, 0.502], [0.748, 0.746, 0.997], [0.252, 0.254, 0.003], [0.749, 0.747, 0.498], [0.751, 0.254, 0.501], [0.751, 0.254, 0.003]],
  "e_tot_ev_per_atom": -6.700,
  "spacegroup": "No. 166",
  "delta_e_f_ev_per_atom": -1.4956
}

2.
{
  "formula": "InCo2Tc",
  "functional": "GGA-PBE",
  "state": "optimized geometry",
  "lattice_angstrom": [[8.652, -0.014, -0.008], [8.198, 2.764, -0.008], [8.198, 1.338, 2.419]],
  "species": ["Co", "Co", "In", "Tc"],
  "frac_coords": [[0.997, 0.997, 0.997], [0.258, 0.258, 0.258], [0.503, 0.503, 0.503], [0.742, 0.742, 0.742]],
  "e_tot_ev_per_atom": -6.414,
  "spacegroup": "No. 160",
  "delta_e_f_ev_per_atom": 0.4151,
  "relative_energy_mev_per_atom": 269
}

3.
{
  "formula": "ScRuBr3",
  "functional": "GGA-PBE",
  "state": "optimized geometry",
  "lattice_angstrom": [[5.290, 0.000, 0.000], [0.000, 5.290, 0.000], [0.000, 0.000, 5.290]],
  "species": ["Sc", "Ru", "Br", "Br", "Br"],
  "frac_coords": [[0.000, 0.000, 0.000], [0.500, 0.500, 0.500], [0.000, 0.500, 0.000], [0.000, 0.000, 0.500], [0.500, 0.000, 0.000]],
  "e_tot_ev_per_atom": -4.142,
  "spacegroup": "No. 221",
  "relative_energy_mev_per_atom": 0,
  "raw_formation_energy_ev_per_atom": -0.017
}

4.
{
  "formula": "Ce2ZrGeN5",
  "functional": "GGA-PBE",
  "state": "optimized geometry",
  "lattice_angstrom": [[3.297, 0.000, 0.000], [-1.649, 6.960, 0.000], [0.000, 0.000, 10.407]],
  "species": ["Ce", "Ce", "Ce", "Ce", "Zr", "Zr", "Ge", "Ge", "N", "N", "N", "N", "N", "N", "N", "N", "N", "N"],
  "frac_coords": [[0.865, 0.730, 0.783], [0.123, 0.245, 0.708], [0.135, 0.270, 0.283], [0.877, 0.755, 0.208], [0.782, 0.563, 0.502], [0.218, 0.437, 0.002], [0.505, 0.009, 0.975], [0.495, 0.991, 0.475], [0.370, 0.741, 0.012], [0.702, 0.404, 0.858], [0.498, 0.996, 0.793], [0.287, 0.574, 0.650], [0.947, 0.894, 0.545], [0.630, 0.259, 0.512], [0.298, 0.596, 0.358], [0.502, 0.004, 0.293], [0.713, 0.426, 0.150], [0.053, 0.106, 0.045]],
  "e_tot_ev_per_atom": -8.513,
  "spacegroup": "No. 36",
  "raw_formation_energy_ev_per_atom": -1.106
}

5.
{
  "formula": "PaZnInGa",
  "functional": "GGA-PBE",
  "state": "optimized geometry",
  "lattice_angstrom": [[4.231, 0.000, 0.000], [0.000, 4.423, 0.000], [0.000, 0.000, 4.598]],
  "species": ["Pa", "Zn", "In", "Ga"],
  "frac_coords": [[0.500, 0.500, 0.000], [0.000, 0.500, 0.500], [0.500, 0.000, 0.500], [0.000, 0.000, 0.000]],
  "e_tot_ev_per_atom": -4.272,
  "spacegroup": "No. 47",
  "delta_e_f_ev_per_atom": -0.1385,
  "relative_energy_mev_per_atom": 0
}

6.
{
  "formula": "CeYC",
  "functional": "GGA-PBE",
  "state": "optimized geometry",
  "lattice_angstrom": [[6.521, -0.080, 0.000], [-1.185, 6.413, 0.000], [-2.668, -3.167, 5.991]],
  "species": ["C", "C", "C", "C", "Y", "Y", "Y", "Y", "Ce", "Ce", "Ce", "Ce"],
  "frac_coords": [[0.802, 0.198, 0.000], [0.052, 0.948, 0.500], [0.198, 0.802, 0.000], [0.448, 0.552, 0.500], [0.864, 0.864, 0.728], [0.136, 0.136, 0.272], [0.114, 0.614, 0.228], [0.386, 0.886, 0.772], [0.625, 0.375, 0.750], [0.125, 0.375, 0.750], [0.625, 0.875, 0.250], [0.625, 0.375, 0.250]],
  "e_tot_ev_per_atom": -7.156,
  "spacegroup": "No. 70",
  "delta_e_f_ev_per_atom": 0.0511,
  "relative_energy_mev_per_atom": 257
}

7.
{
  "formula": "CsLiSi",
  "functional": "GGA-PBE",
  "state": "optimized geometry",
  "lattice_angstrom": [[-3.710, 1.051, -1.988], [-3.504, -0.332, 6.362], [6.295, 12.237, 4.106]],
  "species": ["Cs", "Cs", "Cs", "Cs", "Li", "Li", "Li", "Li", "Si", "Si", "Si", "Si"],
  "frac_coords": [[0.802, 0.000, 0.805], [0.198, 0.000, 0.195], [0.802, 0.500, 0.305], [0.198, 0.500, 0.695], [0.500, 0.165, 0.500], [0.500, 0.835, 0.500], [0.500, 0.665, 0.000], [0.500, 0.335, 0.000], [0.083, 0.000, 0.583], [0.917, 0.000, 0.417], [0.083, 0.500, 0.083], [0.917, 0.500, 0.917]],
  "e_tot_ev_per_atom": -2.696,
  "spacegroup": "No. 12",
  "relative_energy_mev_per_atom": 90,
  "raw_formation_energy_ev_per_atom": 0.034
}

8.
{
  "formula": "KBaGa2Tc",
  "functional": "GGA-PBE",
  "state": "optimized geometry",
  "lattice_angstrom": [[5.542, 0.000, 0.000], [0.000, 6.084, 0.000], [0.000, 0.000, 5.542]],
  "species": ["K", "Ba", "Ga", "Ga", "Tc"],
  "frac_coords": [[0.000, 0.000, 0.000], [0.000, 0.500, 0.000], [0.000, 0.000, 0.500], [0.500, 0.000, 0.000], [0.500, 0.500, 0.500]],
  "e_tot_ev_per_atom": -2.284,
  "spacegroup": "No. 123",
  "delta_e_f_ev_per_atom": 1.6041
}

9.
{
  "formula": "Hg5As",
  "functional": "GGA-PBE",
  "state": "optimized geometry",
  "lattice_angstrom": [[1.044, -0.425, 5.928], [-4.404, -1.784, 3.719], [0.286, -5.422, 2.632]],
  "species": ["Hg", "Hg", "Hg", "Hg", "Hg", "As"],
  "frac_coords": [[0.250, 0.250, 0.250], [0.625, 0.625, 0.625], [0.625, 0.625, 0.124], [0.124, 0.625, 0.625], [0.625, 0.124, 0.625], [0.000, 0.000, 0.000]],
  "e_tot_ev_per_atom": -0.682,
  "spacegroup": "No. 216",
  "delta_e_f_ev_per_atom": 0.3449,
  "relative_energy_mev_per_atom": 213
}

10.
{
  "formula": "Pm8Sb3Te4Pb",
  "functional": "GGA-PBE",
  "state": "optimized geometry",
  "lattice_angstrom": [[-3.508, 6.577, 5.032], [2.927, -4.126, 7.434], [5.767, 1.984, -6.610]],
  "species": ["Pm", "Pm", "Pm", "Pm", "Pm", "Pm", "Pm", "Pm", "Sb", "Sb", "Sb", "Te", "Te", "Te", "Te", "Pb"],
  "frac_coords": [[0.247, 0.741, 0.994], [0.247, 0.741, 0.494], [0.253, 0.260, 0.507], [0.747, 0.741, 0.994], [0.253, 0.259, 0.006], [0.747, 0.740, 0.493], [0.753, 0.259, 0.506], [0.753, 0.259, 0.006], [0.500, 0.500, 0.000], [0.500, 0.500, 0.500], [0.000, 0.500, 0.500], [0.500, 0.000, 0.000], [0.500, 0.000, 0.500], [0.000, 0.000, 0.000], [0.000, 0.000, 0.500], [0.000, 0.500, 0.000]],
  "e_tot_ev_per_atom": -5.431,
  "spacegroup": "No. 166",
  "raw_formation_energy_ev_per_atom": -1.266
}

11.
{
  "formula": "Nd6Ge2PdBr3",
  "functional": "GGA-PBE",
  "state": "optimized geometry",
  "lattice_angstrom": [[4.235, 0.000, 0.000], [0.000, 8.891, 0.310], [-2.118, -2.566, 9.150]],
  "species": ["Nd", "Nd", "Nd", "Nd", "Nd", "Nd", "Ge", "Ge", "Pd", "Br", "Br", "Br"],
  "frac_coords": [[0.339, 0.896, 0.678], [0.674, 0.567, 0.348], [0.661, 0.104, 0.322], [0.007, 0.225, 0.014], [0.993, 0.775, 0.986], [0.326, 0.433, 0.652], [0.834, 0.665, 0.668], [0.166, 0.335, 0.332], [0.500, 0.000, 0.000], [0.500, 0.500, 0.000], [0.831, 0.167, 0.662], [0.169, 0.833, 0.338]],
  "e_tot_ev_per_atom": -5.080,
  "spacegroup": "No. 12",
  "raw_formation_energy_ev_per_atom": -1.075
}

12.
{
  "formula": "LiMn3Br8",
  "functional": "GGA-PBE",
  "state": "optimized geometry",
  "lattice_angstrom": [[7.670, 0.000, 0.000], [-3.835, 5.447, -3.799], [0.000, 0.273, 8.227]],
  "species": ["Li", "Mn", "Mn", "Mn", "Br", "Br", "Br", "Br", "Br", "Br", "Br", "Br"],
  "frac_coords": [[0.000, 0.000, 0.000], [0.500, 0.000, 0.000], [0.500, 0.500, 0.000], [0.000, 0.500, 0.000], [0.256, 0.511, 0.770], [0.744, 0.489, 0.230], [0.273, 0.030, 0.789], [0.757, 0.030, 0.789], [0.757, 0.514, 0.789], [0.243, 0.486, 0.211], [0.243, 0.970, 0.211], [0.727, 0.970, 0.211]],
  "e_tot_ev_per_atom": -4.434,
  "spacegroup": "No. 12",
  "raw_formation_energy_ev_per_atom": -0.867
}